[1]
A plane-wave DFT calculation with SCAN was carried out for a crystal of CoRh2 relaxed with PBEsol.

Unit cell a=2.6410 b=4.9497 c=6.2049 alpha=103.66 beta=90.00 gamma=105.47
Sites, in units of the cell vectors:
Rh 0.3895 0.7790 0.2745
Rh 0.7190 0.4380 0.9499
Rh 0.0578 0.1157 0.6082
Co 0.0015 0.0031 0.0064
Co 0.6642 0.3285 0.3263
Rh 0.3345 0.6690 0.6681

Properties
DOS at the Fermi energy ... 0.97 states/eV/atom
Formation energy ... 33 meV per atom
Space-group type ... Cm (8)
DFT total energy ... -84.75 eV/f.u.

---

[2]
A plane-wave DFT calculation with SCAN was carried out for a crystal of Sr2HgGe relaxed with PBEsol.

Unit cell a=5.4466 b=5.4466 c=5.4466 alpha=60.00 beta=60.00 gamma=60.00
Sites, in units of the cell vectors:
Ge 0.0000 0.0000 0.0000
Sr 0.2500 0.2500 0.2500
Sr 0.7500 0.7500 0.7500
Hg 0.5000 0.5000 0.5000

Properties
DOS at the Fermi energy ... 0.03 states/eV/atom
Formation energy ... -665 meV per atom
Space-group type ... Fm-3m (225)
DFT total energy ... -134.46 eV/f.u.

---

[3]
A plane-wave DFT calculation with SCAN was carried out for a crystal of Cr2AsIr relaxed with PBEsol.

Unit cell a=2.9207 b=2.9207 c=5.9977 alpha=90.00 beta=90.00 gamma=90.00
Sites, in units of the cell vectors:
Cr 0.5000 0.5000 0.2328
Ir 0.0000 0.0000 0.4860
As 0.5000 0.5000 0.7845
Cr 0.0000 0.0000 0.9967

Properties
DOS at the Fermi energy ... 0.64 states/eV/atom
Formation energy ... 7 meV per atom
Space-group type ... P4mm (99)
DFT total energy ... -128.03 eV/f.u.

---

[4]
A plane-wave DFT calculation with SCAN was carried out for a crystal of Ta2BeTl relaxed with PBEsol.

Unit cell a=3.7985 b=4.0363 c=4.3390 alpha=90.00 beta=90.00 gamma=90.00
Sites, in units of the cell vectors:
Ta 0.0000 0.0000 0.0000
Be 0.0000 0.5000 0.5000
Ta 0.5000 0.5000 0.0000
Tl 0.5000 0.0000 0.5000

Properties
DOS at the Fermi energy ... 0.30 states/eV/atom
Formation energy ... 308 meV per atom
Space-group type ... Pmmm (47)
Energy relative to the lowest polymorph listed for this composition ... 0 meV per atom
DFT total energy ... -208.64 eV/f.u.

---

[5]
A plane-wave DFT calculation with SCAN was carried out for a crystal of KSiI3 relaxed with PBEsol.

Unit cell a=5.6725 b=5.6725 c=5.6725 alpha=90.00 beta=90.00 gamma=90.00
Sites, in units of the cell vectors:
I 0.0000 0.0000 0.5000
K 0.5000 0.5000 0.5000
I 0.0000 0.5000 0.0000
Si 0.0000 0.0000 0.0000
I 0.5000 0.0000 0.0000

Properties
DOS at the Fermi energy ... 0.02 states/eV/atom
Space-group type ... Pm-3m (221)
DFT total energy ... -131.60 eV/f.u.
ΔE_f (raw) ... -0.61 eV per atom

---

[6]
A plane-wave DFT calculation with SCAN was carried out for a crystal of Li7Ni9O16 relaxed with PBEsol.

Unit cell a=4.8896 b=5.6808 c=10.2944 alpha=74.76 beta=76.93 gamma=74.28
Sites, in units of the cell vectors:
Ni 0.5000 0.0000 0.5000
O 0.7442 0.2717 0.8058
Ni 0.5067 0.1211 0.7490
Ni 0.4997 0.2514 0.0000
O 0.7175 0.4172 0.0648
O 0.2558 0.7283 0.1942
O 0.7277 0.0166 0.3186
O 0.2903 0.0821 0.9313
O 0.2610 0.8478 0.4255
O 0.2496 0.3492 0.4325
Ni 0.0029 0.3186 0.6212
Li 0.0034 0.9325 0.8722
Li 0.9994 0.5602 0.1259
Ni 0.4933 0.8789 0.2510
O 0.2723 0.9834 0.6814
Ni 0.9971 0.6814 0.3788
Li 0.9985 0.8142 0.6224
Li 0.0006 0.4398 0.8741
Ni 0.4991 0.6235 0.7465
O 0.2696 0.4422 0.6970
O 0.2825 0.5828 0.9352
Li 0.5000 0.5000 0.5000
Li 0.0015 0.1858 0.3776
Li 0.9966 0.0675 0.1278
Ni 0.5009 0.3765 0.2535
O 0.2734 0.2085 0.1932
O 0.7097 0.9179 0.0687
O 0.7304 0.5578 0.3030
O 0.7504 0.6508 0.5675
O 0.7266 0.7915 0.8068
O 0.7390 0.1522 0.5745
Ni 0.5003 0.7486 0.0000

Properties
DOS at the Fermi energy ... 0.25 states/eV/atom
Space-group type ... P-1 (2)
DFT total energy ... -312.63 eV/f.u.
ΔE_f (raw) ... -1.58 eV per atom

---

[7]
A plane-wave DFT calculation with SCAN was carried out for a crystal of SrCuMo2 relaxed with PBEsol.

Unit cell a=3.8201 b=3.8201 c=5.0267 alpha=90.00 beta=90.00 gamma=90.00
Sites, in units of the cell vectors:
Mo 0.0000 0.5000 0.0000
Mo 0.5000 0.0000 0.0000
Sr 0.5000 0.5000 0.5000
Cu 0.0000 0.0000 0.5000

Properties
DOS at the Fermi energy ... 0.98 states/eV/atom
Formation energy ... 1057 meV per atom
Space-group type ... P4/mmm (123)
Energy relative to the lowest polymorph listed for this composition ... 0 meV per atom
DFT total energy ... -103.02 eV/f.u.

---

[8]
A plane-wave DFT calculation with SCAN was carried out for a crystal of Ca2SiP relaxed with PBEsol.

Unit cell a=3.6554 b=3.6554 c=8.6045 alpha=77.74 beta=77.74 gamma=60.00
Sites, in units of the cell vectors:
Ca 0.2419 0.2419 0.2744
Si 0.0000 0.0000 0.0000
P 0.5000 0.5000 0.5000
Ca 0.7581 0.7581 0.7256

Properties
DOS at the Fermi energy ... 0.56 states/eV/atom
Space-group type ... R-3m (166)
Energy relative to the lowest polymorph listed for this composition ... 175 meV per atom
DFT total energy ... -41.45 eV/f.u.
ΔE_f (raw) ... -0.43 eV per atom

---

[9]
A plane-wave DFT calculation with SCAN was carried out for a crystal of IrPtSe2 relaxed with PBEsol.

Unit cell a=4.5214 b=4.5214 c=4.5214 alpha=60.00 beta=60.00 gamma=60.00
Sites, in units of the cell vectors:
Se 0.0000 0.0000 0.0000
Pt 0.2500 0.2500 0.2500
Ir 0.5000 0.5000 0.5000
Se 0.7500 0.7500 0.7500

Properties
DOS at the Fermi energy ... 0.61 states/eV/atom
Space-group type ... F-43m (216)
DFT total energy ... -178.20 eV/f.u.
ΔE_f (raw) ... 0.81 eV per atom

---

[10]
A plane-wave DFT calculation with SCAN was carried out for a crystal of Li3Ti2V3O12 relaxed with PBEsol.

Unit cell a=8.7541 b=9.0897 c=12.2987 alpha=90.00 beta=91.13 gamma=90.00
Sites, in units of the cell vectors:
V 0.6114 0.8836 0.3491
Li 0.0660 0.4794 0.3528
Li 0.8105 0.7737 0.8141
Li 0.4340 0.9794 0.1472
O 0.5698 0.3978 0.4079
O 0.8739 0.9793 0.7563
O 0.1440 0.5699 0.9828
V 0.9639 0.2448 0.5113
V 0.6125 0.6093 0.6407
Li 0.9278 0.0924 0.3024
Li 0.3105 0.7263 0.3141
O 0.2515 0.4479 0.4508
O 0.6048 0.8594 0.0921
O 0.4324 0.6189 0.0613
O 0.0787 0.4224 0.1979
O 0.5630 0.1478 0.1055
O 0.1280 0.8075 0.8407
Li 0.4278 0.4076 0.8024
O 0.2422 0.5230 0.7685
O 0.7422 0.9770 0.2685
O 0.8952 0.3594 0.4079
O 0.7515 0.0521 0.9508
O 0.6885 0.6660 0.9228
O 0.2578 0.0230 0.7315
O 0.3952 0.1406 0.9079
O 0.3115 0.3340 0.0772
Li 0.1895 0.2263 0.1859
O 0.7578 0.4770 0.2315
O 0.5787 0.0776 0.6979
O 0.9213 0.5776 0.8021
O 0.6261 0.4793 0.7437
V 0.0361 0.7552 0.4887
Li 0.6895 0.2737 0.6859
O 0.4370 0.8522 0.8945
O 0.3739 0.5207 0.2563
O 0.1702 0.7177 0.1854
O 0.4302 0.6022 0.5921
V 0.8886 0.3836 0.1509
V 0.1125 0.8907 0.1407
O 0.1048 0.6406 0.5921
O 0.3560 0.0699 0.5172
O 0.0676 0.1189 0.4387
Ti 0.7401 0.9670 0.6160
O 0.8298 0.2823 0.8146
O 0.9370 0.6478 0.3945
O 0.5676 0.3811 0.9387
O 0.8560 0.4301 0.0172
Ti 0.2599 0.0330 0.3840
V 0.4639 0.2552 0.0113
O 0.2485 0.9479 0.0492
Ti 0.2501 0.4773 0.6120
O 0.9302 0.8978 0.0921
Li 0.0722 0.9076 0.6976
Ti 0.2499 0.9773 0.8880
O 0.4213 0.9224 0.3021
Li 0.9340 0.5206 0.6472
O 0.6440 0.9301 0.4828
Li 0.5722 0.5924 0.1976
V 0.8875 0.1093 0.8593
Ti 0.7599 0.4670 0.8840
O 0.0698 0.1022 0.9079
V 0.1114 0.6164 0.8491
Li 0.5660 0.0206 0.8528
Ti 0.2401 0.5330 0.1160
O 0.0630 0.3522 0.6055
Ti 0.7499 0.5227 0.3880
O 0.7485 0.5521 0.5492
Ti 0.7501 0.0227 0.1120
O 0.8720 0.1925 0.1593
O 0.6280 0.6925 0.3407
O 0.8115 0.1660 0.5772
O 0.3720 0.3075 0.6593
V 0.3875 0.3907 0.3593
V 0.3886 0.1164 0.6509
O 0.6702 0.7823 0.6854
V 0.5361 0.7448 0.9887
O 0.1261 0.0207 0.2437
O 0.1885 0.8340 0.4228
O 0.3298 0.2177 0.3146
O 0.9324 0.8811 0.5613

Properties
DOS at the Fermi energy ... 0.28 states/eV/atom
Space-group type ... P2_1/c (14)
DFT total energy ... -221.22 eV/f.u.
ΔE_f (raw) ... -2.74 eV per atom

---

[11]
A plane-wave DFT calculation with SCAN was carried out for a crystal of MgZnCd relaxed with PBEsol.

Unit cell a=3.0662 b=3.0662 c=6.3104 alpha=104.06 beta=104.06 gamma=90.00
Sites, in units of the cell vectors:
Mg 0.6760 0.6760 0.3519
Cd 0.9917 0.9917 0.9833
Zn 0.3324 0.3324 0.6647

Properties
DOS at the Fermi energy ... 0.30 states/eV/atom
Formation energy ... -56 meV per atom
Space-group type ... I4mm (107)
Energy relative to the lowest polymorph listed for this composition ... 36 meV per atom
DFT total energy ... -49.07 eV/f.u.

---

[12]
A plane-wave DFT calculation with SCAN was carried out for a crystal of MnFeTe2 relaxed with PBEsol.

Unit cell a=3.4274 b=3.4274 c=8.4718 alpha=78.33 beta=78.33 gamma=60.00
Sites, in units of the cell vectors:
Te 0.8995 0.8995 0.3016
Te 0.1005 0.1005 0.6984
Mn 0.5000 0.5000 0.5000
Fe 0.0000 0.0000 0.0000

Properties
DOS at the Fermi energy ... 0.95 states/eV/atom
Space-group type ... R-3m (166)
DFT total energy ... -109.51 eV/f.u.
ΔE_f (raw) ... 0.34 eV per atom

---

[13]
A plane-wave DFT calculation with SCAN was carried out for a crystal of KAgAu2 relaxed with PBEsol.

Unit cell a=2.9778 b=2.9778 c=10.2258 alpha=81.63 beta=81.63 gamma=60.00
Sites, in units of the cell vectors:
Au 0.2574 0.2574 0.2277
K 0.5000 0.5000 0.5000
Ag 0.0000 0.0000 0.0000
Au 0.7426 0.7426 0.7723

Properties
DOS at the Fermi energy ... 0.37 states/eV/atom
Formation energy ... 93 meV per atom
Space-group type ... R-3m (166)
Energy relative to the lowest polymorph listed for this composition ... 0 meV per atom
DFT total energy ... -177.64 eV/f.u.

---

[14]
A plane-wave DFT calculation with SCAN was carried out for a crystal of Pb6Au7 relaxed with PBEsol.

Unit cell a=5.6139 b=5.6139 c=11.1401 alpha=75.41 beta=75.41 gamma=60.00
Sites, in units of the cell vectors:
Au 0.5000 0.5000 0.5000
Au 0.5926 0.0917 0.7232
Au 0.5926 0.5926 0.7232
Pb 0.1542 0.1542 0.5374
Pb 0.6674 0.6674 0.9977
Pb 0.3326 0.3326 0.0023
Pb 0.9493 0.9493 0.1521
Au 0.0917 0.5926 0.7232
Au 0.9083 0.4074 0.2768
Pb 0.8458 0.8458 0.4626
Au 0.4074 0.4074 0.2768
Au 0.4074 0.9083 0.2768
Pb 0.0507 0.0507 0.8479

Properties
DOS at the Fermi energy ... 0.40 states/eV/atom
Formation energy ... -31 meV per atom
Space-group type ... R-3m (166)
DFT total energy ... -939.19 eV/f.u.

---

[15]
A plane-wave DFT calculation with SCAN was carried out for a crystal of BaB2H2O5 relaxed with PBEsol.

Unit cell a=6.9656 b=7.1873 c=11.7342 alpha=90.00 beta=91.17 gamma=90.00
Sites, in units of the cell vectors:
O 0.9255 0.2150 0.9537
O 0.9616 0.2667 0.1537
O 0.5000 0.0872 0.2500
H 0.3748 0.4435 0.3857
B 0.8217 0.7659 0.5632
O 0.6109 0.5503 0.3257
H 0.6252 0.4435 0.1143
O 0.3721 0.2068 0.8200
B 0.0000 0.8607 0.7500
B 0.1783 0.7659 0.9368
O 0.6109 0.4497 0.8257
B 0.0000 0.1393 0.2500
O 0.3891 0.4497 0.6743
O 0.9255 0.7850 0.4537
Ba 0.0000 0.3810 0.7500
O 0.0745 0.2150 0.5463
O 0.1650 0.0175 0.2249
O 0.0384 0.7333 0.8463
B 0.5000 0.6829 0.2500
O 0.6279 0.7932 0.1800
O 0.3891 0.5503 0.1743
O 0.0384 0.2667 0.3463
Ba 0.3143 0.7771 0.5521
O 0.3024 0.0758 0.4160
B 0.8217 0.2341 0.0632
H 0.6403 0.3948 0.9020
O 0.6976 0.0758 0.0840
B 0.3358 0.0061 0.8014
H 0.6403 0.6052 0.4020
H 0.6252 0.5565 0.6143
B 0.5000 0.3171 0.7500
O 0.5000 0.9128 0.7500
Ba 0.6857 0.2229 0.4479
O 0.7028 0.4110 0.0473
O 0.0745 0.7850 0.0463
B 0.3358 0.9939 0.3014
B 0.1783 0.2341 0.4368
H 0.1203 0.1158 0.6000
O 0.2972 0.5890 0.9527
O 0.9616 0.7333 0.6537
Ba 0.6857 0.7771 0.9479
H 0.8797 0.1158 0.9000
O 0.6976 0.9242 0.5840
Ba 0.3143 0.2229 0.0521
B 0.6642 0.0061 0.6986
B 0.6642 0.9939 0.1986
H 0.1203 0.8842 0.1000
O 0.8350 0.0175 0.2751
O 0.7028 0.5890 0.5473
O 0.1650 0.9825 0.7249
H 0.3597 0.3948 0.5980
Ba 0.0000 0.6190 0.2500
O 0.3024 0.9242 0.9160
O 0.6279 0.2068 0.6800
O 0.2972 0.4110 0.4527
O 0.3721 0.7932 0.3200
O 0.8350 0.9825 0.7751
H 0.3748 0.5565 0.8857
H 0.8797 0.8842 0.4000
H 0.3597 0.6052 0.0980

Properties
DOS at the Fermi energy ... 0.00 states/eV/atom
Space-group type ... P2/c (13)
DFT total energy ... -116.45 eV/f.u.

---

[16]
A plane-wave DFT calculation with SCAN was carried out for a crystal of Zr3HgC relaxed with PBEsol.

Unit cell a=4.5091 b=4.5091 c=4.5091 alpha=90.00 beta=90.00 gamma=90.00
Sites, in units of the cell vectors:
Hg 0.5000 0.5000 0.5000
Zr 0.0000 0.5000 0.0000
Zr 0.5000 0.0000 0.0000
C 0.0000 0.0000 0.0000
Zr 0.0000 0.0000 0.5000

Properties
DOS at the Fermi energy ... 0.46 states/eV/atom
Formation energy ... -657 meV per atom
Space-group type ... Pm-3m (221)
DFT total energy ... -173.65 eV/f.u.

---

[17]
A plane-wave DFT calculation with SCAN was carried out for a crystal of BeRu relaxed with PBEsol.

Unit cell a=2.7584 b=3.6362 c=4.3661 alpha=90.00 beta=108.41 gamma=90.00
Sites, in units of the cell vectors:
Be 0.0748 0.2500 0.1497
Ru 0.3504 0.2500 0.7007
Ru 0.6496 0.7500 0.2993
Be 0.9252 0.7500 0.8503

Properties
DOS at the Fermi energy ... 0.48 states/eV/atom
Formation energy ... -339 meV per atom
Space-group type ... Cmcm (63)
DFT total energy ... -39.86 eV/f.u.

---

[18]
A plane-wave DFT calculation with SCAN was carried out for a crystal of Ho3Co4Ge13 relaxed with PBEsol.

Unit cell a=8.6388 b=8.6388 c=8.6388 alpha=90.00 beta=90.00 gamma=90.00
Sites, in units of the cell vectors:
Co 0.7500 0.7500 0.2500
Ge 0.0000 0.8468 0.6962
Ge 0.3468 0.5000 0.1962
Ho 0.0000 0.5000 0.2500
Ge 0.6532 0.5000 0.8038
Ge 0.6962 0.0000 0.8468
Ho 0.5000 0.7500 0.0000
Ho 0.7500 0.0000 0.5000
Co 0.2500 0.2500 0.7500
Ge 0.6962 0.0000 0.1532
Ge 0.8038 0.6532 0.5000
Co 0.2500 0.2500 0.2500
Ge 0.1962 0.6532 0.5000
Ho 0.2500 0.0000 0.5000
Ge 0.5000 0.8038 0.6532
Co 0.7500 0.7500 0.7500
Ge 0.0000 0.8468 0.3038
Ge 0.6532 0.5000 0.1962
Ge 0.5000 0.1962 0.3468
Ge 0.3468 0.5000 0.8038
Co 0.2500 0.7500 0.7500
Ge 0.8468 0.3038 0.0000
Ge 0.1532 0.6962 0.0000
Ge 0.8038 0.3468 0.5000
Ge 0.8468 0.6962 0.0000
Ge 0.0000 0.0000 0.0000
Ge 0.5000 0.1962 0.6532
Co 0.2500 0.7500 0.2500
Ge 0.0000 0.1532 0.3038
Ge 0.3038 0.0000 0.8468
Ge 0.3038 0.0000 0.1532
Ge 0.5000 0.5000 0.5000
Ge 0.0000 0.1532 0.6962
Ge 0.1962 0.3468 0.5000
Ho 0.5000 0.2500 0.0000
Ge 0.5000 0.8038 0.3468
Co 0.7500 0.2500 0.2500
Ge 0.1532 0.3038 0.0000
Co 0.7500 0.2500 0.7500
Ho 0.0000 0.5000 0.7500

Properties
DOS at the Fermi energy ... 0.29 states/eV/atom
Formation energy ... -419 meV per atom
Space-group type ... Pm-3n (223)
DFT total energy ... -472.70 eV/f.u.